[1]
Here is a relaxed PrPHRh crystal from Alexandria. Energies are from PBE.

Properties
The total energy is -6.20 eV/atom. The symmetry is P4/nmm. The calculation puts the volume at 15.8 Å³ per atom.

Unit cell a=3.948 b=3.948 c=8.085 alpha=90.00 beta=90.00 gamma=90.00
Positions (direct):
P: 0.000 0.500 0.830
P: 0.500 0.000 0.170
Rh: 0.000 0.000 0.000
Rh: 0.500 0.500 0.000
H: 0.000 0.000 0.500
H: 0.500 0.500 0.500
Pr: 0.500 0.000 0.673
Pr: 0.000 0.500 0.327


[2]
Here is a relaxed PrPH2Ru2 crystal from Alexandria. Energies are from PBE.

Properties
The total energy is -6.37 eV/atom. The symmetry is Cmcm. The calculation puts the volume at 13.8 Å³ per atom.

Unit cell a=5.671 b=5.893 c=5.893 alpha=122.63 beta=90.00 gamma=90.00
Positions (direct):
H: 0.250 0.235 0.429
H: 0.250 0.572 0.765
H: 0.750 0.765 0.571
H: 0.750 0.428 0.235
Pr: 0.250 0.756 0.244
Pr: 0.750 0.244 0.756
Ru: 0.500 0.264 0.265
Ru: 0.500 0.736 0.735
Ru: 0.000 0.264 0.265
Ru: 0.000 0.736 0.735
P: 0.750 0.890 0.109
P: 0.250 0.110 0.891


[3]
Here is a relaxed PrPHRu2 crystal from Alexandria. Energies are from PBE.

Properties
The total energy is -6.96 eV/atom. The symmetry is Cmcm. The calculation puts the volume at 14.7 Å³ per atom.

Unit cell a=3.764 b=5.724 c=7.239 alpha=90.00 beta=90.00 gamma=109.20
Positions (direct):
Ru: 0.835 0.670 0.442
Ru: 0.165 0.330 0.942
Ru: 0.835 0.670 0.058
Ru: 0.165 0.330 0.558
H: 0.000 0.000 0.500
H: 0.000 0.000 0.000
Pr: 0.445 0.890 0.750
Pr: 0.555 0.110 0.250
P: 0.724 0.448 0.750
P: 0.276 0.552 0.250


[4]
Here is a relaxed Pr6P2HS3 crystal from Alexandria. Energies are from PBE.

Properties
The total energy is -6.18 eV/atom. The symmetry is C2/m. The calculation puts the volume at 24.5 Å³ per atom.

Unit cell a=4.144 b=8.180 c=9.173 alpha=103.40 beta=103.05 gamma=90.00
Positions (direct):
Pr: 0.000 0.743 0.001
Pr: 0.331 0.420 0.662
Pr: 0.000 0.257 0.999
Pr: 0.668 0.087 0.336
Pr: 0.332 0.913 0.664
Pr: 0.669 0.580 0.338
S: 0.500 0.500 0.000
S: 0.832 0.165 0.665
S: 0.168 0.835 0.335
H: 0.500 0.000 0.000
P: 0.164 0.328 0.327
P: 0.836 0.672 0.673